13
Lattice="9.860 -3.892 0.000 9.860 3.892 0.000 -0.003 0.000 5.677" Properties=species:S:1:pos:R:3 comment="Nd8Tm3Sc2 (PBE-GGA, optimized geometry)" e_tot_ev_per_cell=-61.487 sg="C2/m, No. 12" e_above_lowest_polymorph_mev_per_atom=42 density_g_cm3=6.67 pbc="T T T"
Nd 7.694 2.308 5.675
Nd 3.533 0.000 2.844
Nd 12.022 2.308 0.002
Nd 7.278 0.000 2.841
Nd 12.439 0.000 2.837
Nd 7.694 -2.308 5.675
Nd 16.184 0.000 2.833
Nd 12.022 -2.308 0.002
Tm 9.858 2.244 2.839
Tm 9.860 0.000 0.000
Tm 9.858 -2.244 2.839
Sc 5.152 0.000 0.006
Sc 14.564 0.000 5.671